Record 1
# NiPPb2 | Alexandria via LeMat-Bulk | PBE-GGA | optimized geometry
data_NiPPb2
_cell_length_a 6.1693
_cell_length_b 6.1693
_cell_length_c 7.4038
_cell_angle_alpha 65.38
_cell_angle_beta 65.38
_cell_angle_gamma 90.00
_symmetry_space_group_name_H-M 'P 1'
_symmetry_Int_Tables_number 1
_symmetry_space_group_name_Hall 'P 1'
loop_
_atom_site_label
_atom_site_fract_x
_atom_site_fract_y
_atom_site_fract_z
P1 0.5000 0.5000 0.0000
Pb1 0.6478 0.1250 0.2500
Pb2 0.1022 0.6250 0.2500
Ni1 0.0000 0.0000 0.0000
P2 0.2500 0.7500 0.5000
Ni2 0.7500 0.2500 0.5000
Pb3 0.3750 0.3522 0.7500
Pb4 0.8750 0.8978 0.7500
# Total magnetic moment: 0.0 μB/f.u.
# Energy relative to the elements: 0.3745 eV per atom

---

Record 2
# Ni2PPb | Alexandria via LeMat-Bulk | PBE-GGA | optimized geometry
data_Ni2PPb
_cell_length_a 4.4875
_cell_length_b 4.4875
_cell_length_c 4.4875
_cell_angle_alpha 60.00
_cell_angle_beta 60.00
_cell_angle_gamma 60.00
_symmetry_space_group_name_H-M 'P 1'
_symmetry_Int_Tables_number 1
_symmetry_space_group_name_Hall 'P 1'
loop_
_atom_site_label
_atom_site_fract_x
_atom_site_fract_y
_atom_site_fract_z
Ni1 0.0000 0.0000 0.0000
Pb1 0.2500 0.2500 0.2500
P1 0.5000 0.5000 0.5000
Ni2 0.7500 0.7500 0.7500
# Total magnetic moment: 0.0 μB/f.u.
# Energy relative to the elements: 0.5706 eV per atom

---

Record 3
# NiP2Pb | Alexandria via LeMat-Bulk | PBE-GGA | optimized geometry
data_NiP2Pb
_cell_length_a 3.7227
_cell_length_b 4.2151
_cell_length_c 4.9170
_cell_angle_alpha 78.60
_cell_angle_beta 90.00
_cell_angle_gamma 90.00
_symmetry_space_group_name_H-M 'P 1'
_symmetry_Int_Tables_number 1
_symmetry_space_group_name_Hall 'P 1'
loop_
_atom_site_label
_atom_site_fract_x
_atom_site_fract_y
_atom_site_fract_z
P1 0.0000 0.5049 0.6330
P2 0.0000 0.9951 0.8670
Ni1 0.5000 0.7500 0.7500
Pb1 0.5000 0.2500 0.2500
# Total magnetic moment: 0.0 μB/f.u.
# Energy relative to the elements: -0.1454 eV per atom

---

Record 4
# NiP4Pb | Alexandria via LeMat-Bulk | PBE-GGA | optimized geometry
data_NiP4Pb
_cell_length_a 5.4363
_cell_length_b 5.4363
_cell_length_c 5.4363
_cell_angle_alpha 60.00
_cell_angle_beta 60.00
_cell_angle_gamma 60.00
_symmetry_space_group_name_H-M 'P 1'
_symmetry_Int_Tables_number 1
_symmetry_space_group_name_Hall 'P 1'
loop_
_atom_site_label
_atom_site_fract_x
_atom_site_fract_y
_atom_site_fract_z
P1 0.9341 0.3553 0.3553
P2 0.3553 0.3553 0.9341
Pb1 0.7500 0.7500 0.7500
P3 0.3553 0.9341 0.3553
P4 0.3553 0.3553 0.3553
Ni1 0.0000 0.0000 0.0000
# Total magnetic moment: 0.0 μB/f.u.
# Energy relative to the elements: 0.6582 eV per atom

---

Record 5
# Ni2PPb | Alexandria via LeMat-Bulk | PBE-GGA | optimized geometry
data_Ni2PPb
_cell_length_a 4.2548
_cell_length_b 4.2548
_cell_length_c 3.3813
_cell_angle_alpha 90.00
_cell_angle_beta 90.00
_cell_angle_gamma 90.00
_symmetry_space_group_name_H-M 'P 1'
_symmetry_Int_Tables_number 1
_symmetry_space_group_name_Hall 'P 1'
loop_
_atom_site_label
_atom_site_fract_x
_atom_site_fract_y
_atom_site_fract_z
P1 0.5000 0.5000 0.5000
Ni1 0.5000 0.0000 0.0000
Ni2 0.0000 0.5000 0.0000
Pb1 0.0000 0.0000 0.5000
# Total magnetic moment: 0.0 μB/f.u.
# Energy relative to the elements: 0.3289 eV per atom

---

Record 6
# Ni2PPb | Alexandria via LeMat-Bulk | PBE-GGA | optimized geometry
data_Ni2PPb
_cell_length_a 5.1840
_cell_length_b 5.1840
_cell_length_c 5.1840
_cell_angle_alpha 137.99
_cell_angle_beta 137.99
_cell_angle_gamma 60.92
_symmetry_space_group_name_H-M 'P 1'
_symmetry_Int_Tables_number 1
_symmetry_space_group_name_Hall 'P 1'
loop_
_atom_site_label
_atom_site_fract_x
_atom_site_fract_y
_atom_site_fract_z
Pb1 0.7500 0.2500 0.5000
P1 0.5000 0.5000 0.0000
Ni1 0.0000 0.0000 0.0000
Ni2 0.2500 0.7500 0.5000
# Total magnetic moment: 0.0 μB/f.u.
# Energy relative to the elements: 0.3375 eV per atom

---

Record 7
# NiPPb2 | Alexandria via LeMat-Bulk | PBE-GGA | optimized geometry
data_NiPPb2
_cell_length_a 4.9907
_cell_length_b 4.9907
_cell_length_c 4.9907
_cell_angle_alpha 60.00
_cell_angle_beta 60.00
_cell_angle_gamma 60.00
_symmetry_space_group_name_H-M 'P 1'
_symmetry_Int_Tables_number 1
_symmetry_space_group_name_Hall 'P 1'
loop_
_atom_site_label
_atom_site_fract_x
_atom_site_fract_y
_atom_site_fract_z
Pb1 0.7500 0.7500 0.7500
Pb2 0.0000 0.0000 0.0000
P1 0.2500 0.2500 0.2500
Ni1 0.5000 0.5000 0.5000
# Total magnetic moment: 0.0 μB/f.u.
# Energy relative to the elements: 0.6122 eV per atom

---

Record 8
# Ni6PPb12 | Alexandria via LeMat-Bulk | PBE-GGA | optimized geometry
data_Ni6PPb12
_cell_length_a 8.3514
_cell_length_b 8.3514
_cell_length_c 8.3514
_cell_angle_alpha 109.47
_cell_angle_beta 109.47
_cell_angle_gamma 109.47
_symmetry_space_group_name_H-M 'P 1'
_symmetry_Int_Tables_number 1
_symmetry_space_group_name_Hall 'P 1'
loop_
_atom_site_label
_atom_site_fract_x
_atom_site_fract_y
_atom_site_fract_z
Pb1 0.2984 0.1795 0.4779
Pb2 0.8205 0.5221 0.7016
Pb3 0.2984 0.8205 0.1189
Ni1 0.6254 0.1254 0.5000
Pb4 0.7016 0.1795 0.8811
Pb5 0.8205 0.1189 0.2984
Pb6 0.1795 0.4779 0.2984
Ni2 0.3746 0.8746 0.5000
Ni3 0.8746 0.5000 0.3746
P1 0.0000 0.0000 0.0000
Ni4 0.5000 0.6254 0.1254
Pb7 0.5221 0.7016 0.8205
Pb8 0.7016 0.8205 0.5221
Ni5 0.1254 0.5000 0.6254
Pb9 0.8811 0.7016 0.1795
Ni6 0.5000 0.3746 0.8746
Pb10 0.1189 0.2984 0.8205
Pb11 0.4779 0.2984 0.1795
Pb12 0.1795 0.8811 0.7016
# Total magnetic moment: 0.0 μB/f.u.
# Energy relative to the elements: 0.2282 eV per atom

---

Record 9
# Ni2PPb | Alexandria via LeMat-Bulk | PBE-GGA | optimized geometry
data_Ni2PPb
_cell_length_a 3.0064
_cell_length_b 3.0064
_cell_length_c 6.9018
_cell_angle_alpha 90.00
_cell_angle_beta 90.00
_cell_angle_gamma 87.58
_symmetry_space_group_name_H-M 'P 1'
_symmetry_Int_Tables_number 1
_symmetry_space_group_name_Hall 'P 1'
loop_
_atom_site_label
_atom_site_fract_x
_atom_site_fract_y
_atom_site_fract_z
Pb1 0.5000 0.5000 0.0000
P1 0.5000 0.5000 0.5000
Ni1 0.0000 0.0000 0.6744
Ni2 0.0000 0.0000 0.3256
# Total magnetic moment: 0.0 μB/f.u.
# Energy relative to the elements: 0.0608 eV per atom

---

Record 10
# NiPPb2 | Alexandria via LeMat-Bulk | PBE-GGA | optimized geometry
data_NiPPb2
_cell_length_a 3.3623
_cell_length_b 3.3637
_cell_length_c 7.4485
_cell_angle_alpha 90.02
_cell_angle_beta 90.00
_cell_angle_gamma 90.00
_symmetry_space_group_name_H-M 'P 1'
_symmetry_Int_Tables_number 1
_symmetry_space_group_name_Hall 'P 1'
loop_
_atom_site_label
_atom_site_fract_x
_atom_site_fract_y
_atom_site_fract_z
P1 0.5000 0.5000 0.5000
Ni1 0.5000 0.5000 0.0000
Pb1 0.0000 0.0006 0.2278
Pb2 0.0000 0.9994 0.7722
# Total magnetic moment: 0.0 μB/f.u.
# Energy relative to the elements: 0.4081 eV per atom

---

Record 11
# NiP2Pb | Alexandria via LeMat-Bulk | PBE-GGA | optimized geometry
data_NiP2Pb
_cell_length_a 4.5474
_cell_length_b 4.5474
_cell_length_c 3.7459
_cell_angle_alpha 90.00
_cell_angle_beta 90.00
_cell_angle_gamma 109.12
_symmetry_space_group_name_H-M 'P 1'
_symmetry_Int_Tables_number 1
_symmetry_space_group_name_Hall 'P 1'
loop_
_atom_site_label
_atom_site_fract_x
_atom_site_fract_y
_atom_site_fract_z
Pb1 0.5000 0.0000 0.5000
Ni1 0.0000 0.5000 0.5000
P1 0.5000 0.5000 0.0000
P2 0.0000 0.0000 0.0000
# Total magnetic moment: 0.0 μB/f.u.
# Energy relative to the elements: 0.5891 eV per atom

---

Record 12
# Ni3PPb | Alexandria via LeMat-Bulk | PBE-GGA | optimized geometry
data_Ni3PPb
_cell_length_a 4.3004
_cell_length_b 4.3004
_cell_length_c 4.3004
_cell_angle_alpha 90.00
_cell_angle_beta 90.00
_cell_angle_gamma 90.00
_symmetry_space_group_name_H-M 'P 1'
_symmetry_Int_Tables_number 1
_symmetry_space_group_name_Hall 'P 1'
loop_
_atom_site_label
_atom_site_fract_x
_atom_site_fract_y
_atom_site_fract_z
P1 0.0000 0.0000 0.0000
Pb1 0.5000 0.5000 0.5000
Ni1 0.0000 0.0000 0.5000
Ni2 0.0000 0.5000 0.0000
Ni3 0.5000 0.0000 0.0000
# Energy above the most stable polymorph in this dataset: 0 meV per atom
# Total magnetic moment: 0.0 μB/f.u.
# Energy relative to the elements: -0.0493 eV per atom

---

Record 13
# Ni4PPb | Alexandria via LeMat-Bulk | PBE-GGA | optimized geometry
data_Ni4PPb
_cell_length_a 4.8957
_cell_length_b 4.8957
_cell_length_c 4.8957
_cell_angle_alpha 60.00
_cell_angle_beta 60.00
_cell_angle_gamma 60.00
_symmetry_space_group_name_H-M 'P 1'
_symmetry_Int_Tables_number 1
_symmetry_space_group_name_Hall 'P 1'
loop_
_atom_site_label
_atom_site_fract_x
_atom_site_fract_y
_atom_site_fract_z
Ni1 0.3759 0.8724 0.3759
Ni2 0.3759 0.3759 0.3759
P1 0.7500 0.7500 0.7500
Ni3 0.8724 0.3759 0.3759
Pb1 0.0000 0.0000 0.0000
Ni4 0.3759 0.3759 0.8724
# Total magnetic moment: 1.0 μB/f.u.
# Energy relative to the elements: 0.2913 eV per atom

---

Record 14
# NiP2Pb | Alexandria via LeMat-Bulk | PBE-GGA | optimized geometry
data_NiP2Pb
_cell_length_a 4.5479
_cell_length_b 4.5644
_cell_length_c 4.5802
_cell_angle_alpha 70.86
_cell_angle_beta 69.58
_cell_angle_gamma 108.85
_symmetry_space_group_name_H-M 'P 1'
_symmetry_Int_Tables_number 1
_symmetry_space_group_name_Hall 'P 1'
loop_
_atom_site_label
_atom_site_fract_x
_atom_site_fract_y
_atom_site_fract_z
P1 0.5000 0.0000 0.5000
P2 0.0000 0.0000 0.0000
Pb1 0.0000 0.5000 0.5000
Ni1 0.5000 0.5000 0.0000
# Total magnetic moment: 0.0 μB/f.u.
# Energy relative to the elements: 0.4549 eV per atom